Entry 1:
The following is a GGA+U calculation of a relaxed LiCrP2O7 crystal, from Alexandria.

Cell: 5.027 8.404 12.210 Å, 78.34 90.00 90.00°
Positions (direct):
Li 0.735 0.121 0.300
Li 0.265 0.879 0.700
Li 0.765 0.621 0.800
Li 0.235 0.379 0.200
Cr 0.240 0.762 0.969
Cr 0.740 0.738 0.531
Cr 0.260 0.262 0.469
Cr 0.760 0.238 0.031
P 0.737 0.582 0.117
P 0.263 0.418 0.883
P 0.259 0.530 0.642
P 0.237 0.918 0.383
P 0.241 0.030 0.142
P 0.763 0.082 0.617
P 0.759 0.970 0.858
P 0.741 0.470 0.358
O 0.790 0.604 0.244
O 0.654 0.910 0.618
O 0.555 0.829 0.860
O 0.042 0.906 0.842
O 0.958 0.094 0.158
O 0.445 0.171 0.140
O 0.346 0.090 0.382
O 0.064 0.095 0.592
O 0.710 0.104 0.744
O 0.605 0.217 0.546
O 0.718 0.060 0.950
O 0.846 0.410 0.118
O 0.945 0.329 0.360
O 0.458 0.406 0.342
O 0.218 0.440 0.550
O 0.290 0.896 0.256
O 0.105 0.283 0.954
O 0.210 0.396 0.756
O 0.436 0.595 0.092
O 0.895 0.717 0.046
O 0.564 0.405 0.908
O 0.782 0.560 0.450
O 0.542 0.594 0.658
O 0.055 0.671 0.640
O 0.154 0.590 0.882
O 0.282 0.940 0.050
O 0.395 0.783 0.454
O 0.936 0.905 0.408

Output
N(E_F) (states/eV per atom): 0.000
E above lowest polymorph (meV/atom): 24.9

Entry 2:
The following is a GGA+U calculation of a relaxed Li2CrP2O7 crystal, from Alexandria.

Cell: 5.090 5.090 7.469 Å, 70.08 70.08 60.00°
Positions (direct):
Li 0.756 0.756 0.731
Li 0.244 0.244 0.269
Cr 0.500 0.500 0.500
P 0.922 0.922 0.233
P 0.078 0.078 0.767
O 0.202 0.878 0.295
O 0.625 0.202 0.295
O 0.878 0.625 0.295
O 0.375 0.122 0.705
O 0.798 0.375 0.705
O 0.000 0.000 0.000
O 0.122 0.798 0.705

Output
N(E_F) (states/eV per atom): 0.530
E above lowest polymorph (meV/atom): 152.8

Which value of N(E_F) does entry 1 give?
0.000 states/eV per atom

The lowest N(E_F) belongs to which entry?
LiCrP2O7

E above lowest polymorph of number 2 (Li2CrP2O7)?
152.8 meV/atom